3
Lattice="3.557 0.000 0.000 -1.779 3.081 0.000 0.000 0.000 6.583" Properties=species:S:1:pos:R:3 comment="CoTeCl | Alexandria via LeMat-Bulk | PBE-GGA | relaxed" raw_formation_energy_mev_per_atom=-344.9 total_energy_ev_per_atom=-4.376 space_group="No. 156" pbc="T T T"
Co 0.000 0.000 0.000
Te 0.000 2.054 1.394
Cl 1.779 1.027 5.268